Density functional theory data (GGA-PBE) for Ir2PbBr after structural relaxation.

Summary:
formation energy without anion corrections	510	meV per atom
calculated total energy	-5.27	eV per atom

Lattice parameters (Å, degrees): 3.192 3.192 8.479 90.00 90.00 90.22
Element x y z (fractional)
Ir1 0.000 0.000 0.000
Ir2 0.500 0.500 0.158
Pb1 0.000 0.000 0.404
Br1 0.500 0.500 0.771